Material: Pr2BiPd6
Method: DFT, PBE
State: optimized geometry

E_form: -0.638 eV/atom
uncorrected energy: -5.593 eV per atom

a b c (Å): 10.283 5.936 6.112
angles (deg): 90.00 90.02 90.00
Space group C2/m (No. 12)
Inequivalent atoms, fractional coordinates:
Pr 0.167 0.000 0.312
Bi 0.000 0.500 0.500
Pd 0.089 0.231 0.829
Pd 0.180 0.500 0.174


Material: LaYBr2
Method: DFT, PBE
State: optimized geometry

ΔE to the lowest computed polymorph: 314 meV/atom
uncorrected energy: -4.591 eV per atom

a b c (Å): 5.226 5.226 3.752
angles (deg): 90.00 90.00 90.00
Space group P4/mmm (No. 123)
Inequivalent atoms, fractional coordinates:
La 0.000 0.000 0.000
Y 0.500 0.500 0.000
Br 0.000 0.500 0.500


Material: MgTa3Rh
Method: DFT, PBE
State: optimized geometry

E_form: 1.007 eV/atom
ΔE to the lowest computed polymorph: 0 meV/atom
uncorrected energy: -7.894 eV per atom

a b c (Å): 4.841 4.841 4.841
angles (deg): 90.00 90.00 90.00
Space group Pm-3m (No. 221)
Inequivalent atoms, fractional coordinates:
Mg 0.000 0.000 0.000
Ta 0.000 0.500 0.500
Rh 0.500 0.500 0.500


Material: SrMo2Pt
Method: DFT, PBE
State: optimized geometry

E_form: 0.573 eV/atom
ΔE to the lowest computed polymorph: 363 meV/atom
uncorrected energy: -6.773 eV per atom

a b c (Å): 6.697 6.697 6.697
angles (deg): 90.00 90.00 90.00
Space group F-43m (No. 216)
Inequivalent atoms, fractional coordinates:
Sr 0.000 0.000 0.000
Mo 0.000 0.000 0.500
Mo 0.250 0.250 0.750
Pt 0.250 0.250 0.250


Material: TaN2OF
Method: DFT, PBE
State: optimized geometry

uncorrected energy: -7.118 eV per atom

a b c (Å): 4.203 4.203 3.868
angles (deg): 90.00 90.00 90.00
Space group P4/mmm (No. 123)
Inequivalent atoms, fractional coordinates:
Ta 0.000 0.000 0.000
N 0.000 0.500 0.000
O 0.000 0.000 0.500
F 0.500 0.500 0.500


Material: Mg4Hg3Pd
Method: DFT, PBE
State: optimized geometry

E_form: -0.357 eV/atom
uncorrected energy: -1.916 eV per atom

a b c (Å): 3.310 3.310 14.524
angles (deg): 90.00 90.00 90.00
Space group P4/mmm (No. 123)
Inequivalent atoms, fractional coordinates:
Mg 0.000 0.000 0.103
Mg 0.000 0.000 0.365
Hg 0.500 0.500 0.234
Hg 0.500 0.500 0.500
Pd 0.500 0.500 0.000


Material: Hf2CuPt2
Method: DFT, PBE
State: optimized geometry

E_form: -0.774 eV/atom
ΔE to the lowest computed polymorph: 0 meV/atom
uncorrected energy: -7.991 eV per atom

a b c (Å): 7.400 7.400 3.358
angles (deg): 90.00 90.00 90.00
Space group P4/mbm (No. 127)
Inequivalent atoms, fractional coordinates:
Hf 0.167 0.333 0.000
Cu 0.000 0.000 0.500
Pt 0.135 0.635 0.500


Material: Rb2GeBSb
Method: DFT, PBE
State: optimized geometry

uncorrected energy: -2.779 eV per atom

a b c (Å): 6.626 6.626 4.349
angles (deg): 90.00 90.00 90.00
Space group P4/mmm (No. 123)
Inequivalent atoms, fractional coordinates:
Rb 0.000 0.500 0.000
Ge 0.000 0.000 0.500
B 0.500 0.500 0.000
Sb 0.500 0.500 0.500


Material: H3Cl
Method: DFT, PBE
State: optimized geometry

uncorrected energy: -3.243 eV per atom

a b c (Å): 3.809 4.959 3.962
angles (deg): 90.00 93.41 90.00
Space group Pm (No. 6)
Inequivalent atoms, fractional coordinates:
H 0.000 0.000 0.000
H 0.147 0.000 0.136
H 0.812 0.500 0.355
Cl 0.573 0.500 0.572


Material: Ho5Cu2
Method: DFT, PBE
State: optimized geometry

E_form: -0.126 eV/atom
uncorrected energy: -4.566 eV per atom

a b c (Å): 16.293 6.557 6.803
angles (deg): 90.00 95.67 90.00
Space group C2/c (No. 15)
Inequivalent atoms, fractional coordinates:
Ho 0.000 0.056 0.250
Ho 0.095 0.386 0.942
Ho 0.220 0.062 0.297
Cu 0.110 0.208 0.559